A plane-wave DFT calculation with PBE-GGA was carried out for crystalline YTlAu2 at its relaxed geometry.

Properties
As for the space group: P4/mmm (123). The calculated total energy is -4.38 eV/atom. For the volume, the calculation gives 93.51 Å³/cell. For the formation energy from the elements, the calculation gives -2.1 eV/f.u.

Cell lengths 3.7288, 3.7250, 6.7323 Å; angles 90.00, 90.00, 90.00 degrees
With the nearest neighbours (Å) after each atom.
Sites, in units of the cell vectors:
Y (0.5000, 0.5000, 0.7500)  8 Au 3.05, 2 Tl 3.37
Au (0.0000, 0.0000, 0.5228)  4 Y 3.05, 1 Au 3.06, 4 Tl 3.21
Au (0.0000, 0.0000, 0.9772)  4 Y 3.05, 1 Au 3.06, 4 Tl 3.21
Tl (0.5000, 0.5000, 0.2500)  8 Au 3.21, 2 Y 3.37